The following is a PBE calculation of crystalline InHg2 at its relaxed geometry, from Alexandria via LeMat-Bulk.

Unit cell a=12.1511 b=3.3169 c=8.1927 alpha=90.00 beta=104.83 gamma=90.00
Fractional positions:
In 0.0000 0.0000 0.0000
In 0.1830 0.5000 0.3476
In 0.5000 0.5000 0.0000
In 0.6830 0.0000 0.3476
Hg 0.0715 0.0000 0.6323
Hg 0.2315 0.5000 0.9668
Hg 0.3431 0.0000 0.6759
Hg 0.4100 0.0000 0.2996
Hg 0.5715 0.5000 0.6323
Hg 0.7315 0.0000 0.9668
Hg 0.8431 0.5000 0.6759
Hg 0.9100 0.5000 0.2996

Calculated values
DFT formation energy: 6 kJ/mol of formula units



The following is a PBE calculation of crystalline CePu2As2Pt2 at its relaxed geometry, from Alexandria via LeMat-Bulk.

Unit cell a=9.2243 b=9.2243 c=9.2243 alpha=26.62 beta=26.62 gamma=26.62
Fractional positions:
Ce 0.0000 0.0000 0.0000
Pu 0.1600 0.1600 0.1600
Pu 0.8400 0.8400 0.8400
As 0.2708 0.2708 0.2708
As 0.7292 0.7292 0.7292
Pt 0.4275 0.4275 0.4275
Pt 0.5725 0.5725 0.5725

Calculated values
DFT formation energy: -453 kJ/mol of formula units



The following is a PBE calculation of crystalline Rb2BaCdF6 at its relaxed geometry, from Alexandria via LeMat-Bulk.

Unit cell a=6.5972 b=6.7505 c=11.4208 alpha=90.00 beta=124.68 gamma=90.00
Fractional positions:
Rb 0.2366 0.0439 0.2496
Rb 0.2366 0.4561 0.7496
Rb 0.7634 0.5439 0.2504
Rb 0.7634 0.9561 0.7504
Ba 0.5000 0.0000 0.0000
Ba 0.5000 0.5000 0.5000
Cd 0.0000 0.0000 0.5000
Cd 0.0000 0.5000 0.0000
F 0.1371 0.2243 0.9474
F 0.1371 0.2757 0.4474
F 0.2285 0.6935 0.9528
F 0.2285 0.8065 0.4528
F 0.3249 0.0368 0.7323
F 0.3249 0.4632 0.2323
F 0.6751 0.5368 0.7677
F 0.6751 0.9632 0.2677
F 0.7715 0.1935 0.5472
F 0.7715 0.3065 0.0472
F 0.8629 0.7243 0.5526
F 0.8629 0.7757 0.0526

Calculated values
Formation energy (no corrections): -2.892 eV per atom



The following is a PBE calculation of crystalline LiNi2Pt at its relaxed geometry, from Alexandria via LeMat-Bulk.

Unit cell a=2.6830 b=4.4751 c=8.7461 alpha=90.00 beta=90.00 gamma=90.00
Fractional positions:
Li 0.0000 0.0000 0.0000
Li 0.5000 0.5000 0.0000
Ni 0.0000 0.5000 0.2430
Ni 0.0000 0.5000 0.7570
Ni 0.5000 0.0000 0.2430
Ni 0.5000 0.0000 0.7570
Pt 0.0000 0.0000 0.5000
Pt 0.5000 0.5000 0.5000

Calculated values
DFT formation energy: 30 kJ/mol of formula units



The following is a PBE calculation of crystalline KTa2Re at its relaxed geometry, from Alexandria via LeMat-Bulk.

Unit cell a=2.9117 b=5.7127 c=10.7624 alpha=90.00 beta=90.00 gamma=90.00
Fractional positions:
K 0.0000 0.0000 0.0000
K 0.5000 0.5000 0.5000
Ta 0.0000 0.5000 0.1994
Ta 0.0000 0.5000 0.8006
Ta 0.5000 0.0000 0.3006
Ta 0.5000 0.0000 0.6994
Re 0.0000 0.0000 0.5000
Re 0.5000 0.5000 0.0000

Calculated values
DFT formation energy: 422 kJ/mol of formula units



The following is a PBE calculation of crystalline TaCuSb2H at its relaxed geometry, from Alexandria via LeMat-Bulk.

Unit cell a=5.3238 b=5.3238 c=3.1046 alpha=90.00 beta=90.00 gamma=90.00
Fractional positions:
Ta 0.0000 0.0000 0.0000
Cu 0.5000 0.5000 0.5000
Sb 0.0000 0.5000 0.5000
Sb 0.5000 0.0000 0.5000
H 0.5000 0.5000 0.0000



The following is a PBE calculation of crystalline CaMnCo at its relaxed geometry, from Alexandria via LeMat-Bulk.

Unit cell a=4.0579 b=4.0904 c=7.1935 alpha=90.00 beta=90.03 gamma=90.00
Fractional positions:
Ca 0.0000 0.0000 0.0000
Ca 0.5003 0.5000 0.3427
Mn 0.9997 0.5000 0.6675
Mn 0.4994 0.5000 0.8269
Co 0.0014 0.0000 0.5089
Co 0.5014 0.0000 0.6587

Calculated values
DFT formation energy: 70 kJ/mol of formula units



The following is a PBE calculation of crystalline ZrCu3S at its relaxed geometry, from Alexandria via LeMat-Bulk.

Unit cell a=4.9131 b=4.9131 c=4.9131 alpha=90.00 beta=90.00 gamma=90.00
Fractional positions:
Zr 0.0000 0.0000 0.0000
Cu 0.0000 0.0000 0.5000
Cu 0.0000 0.5000 0.0000
Cu 0.5000 0.0000 0.0000
S 0.5000 0.5000 0.5000

Calculated values
Formation energy (no corrections): 1.539 eV per atom



The following is a PBE calculation of crystalline Li2ReW at its relaxed geometry, from Alexandria via LeMat-Bulk.

Unit cell a=3.2356 b=3.2356 c=5.0501 alpha=90.00 beta=90.00 gamma=90.00
Fractional positions:
Li 0.0000 0.0000 0.2379
Li 0.0000 0.0000 0.7621
Re 0.5000 0.5000 0.0000
W 0.5000 0.5000 0.5000

Calculated values
DFT formation energy: 317 kJ/mol of formula units



The following is a PBE calculation of crystalline VSnS2 at its relaxed geometry, from Alexandria via LeMat-Bulk.

Unit cell a=3.2719 b=3.2719 c=25.5975 alpha=90.00 beta=90.00 gamma=120.00
Fractional positions:
V 0.0000 0.0000 0.0000
V 0.3333 0.6667 0.6667
V 0.6667 0.3333 0.3333
Sn 0.0000 0.0000 0.5000
Sn 0.3333 0.6667 0.1667
Sn 0.6667 0.3333 0.8333
S 0.0000 0.0000 0.3891
S 0.0000 0.0000 0.6109
S 0.3333 0.6667 0.0558
S 0.3333 0.6667 0.2775
S 0.6667 0.3333 0.7225
S 0.6667 0.3333 0.9442

Calculated values
Formation energy (no corrections): -0.674 eV per atom



The following is a PBE calculation of crystalline Ca2Nd2O5 at its relaxed geometry, from Alexandria via LeMat-Bulk.

Unit cell a=6.7135 b=6.7135 c=6.7105 alpha=90.00 beta=90.00 gamma=59.23
Fractional positions:
Ca 0.2078 0.2078 0.0000
Ca 0.2922 0.2922 0.5000
Ca 0.7078 0.7078 0.5000
Ca 0.7922 0.7922 0.0000
Nd 0.1659 0.8341 0.6671
Nd 0.3341 0.6659 0.1671
Nd 0.6659 0.3341 0.8329
Nd 0.8341 0.1659 0.3329
O 0.0000 0.0000 0.0000
O 0.0218 0.7106 0.3536
O 0.2106 0.5218 0.8536
O 0.2894 0.9782 0.3536
O 0.4782 0.7894 0.8536
O 0.5000 0.5000 0.5000
O 0.5218 0.2106 0.1464
O 0.7106 0.0218 0.6464
O 0.7894 0.4782 0.1464
O 0.9782 0.2894 0.6464

Calculated values
Formation energy (no corrections): -3.053 eV per atom



The following is a PBE calculation of crystalline TiAl2Ir3 at its relaxed geometry, from Alexandria via LeMat-Bulk.

Unit cell a=2.9330 b=2.9330 c=9.9120 alpha=90.00 beta=90.00 gamma=90.00
Fractional positions:
Ti 0.0000 0.0000 0.0000
Al 0.0000 0.0000 0.3392
Al 0.0000 0.0000 0.6608
Ir 0.5000 0.5000 0.1782
Ir 0.5000 0.5000 0.5000
Ir 0.5000 0.5000 0.8218

Calculated values
DFT formation energy: -547 kJ/mol of formula units



The following is a PBE calculation of crystalline ZnPt2 at its relaxed geometry, from Alexandria via LeMat-Bulk.

Unit cell a=10.2857 b=2.7943 c=6.7216 alpha=90.00 beta=109.01 gamma=90.00
Fractional positions:
Zn 0.1855 0.0000 0.1546
Zn 0.3145 0.5000 0.8454
Zn 0.6855 0.5000 0.1546
Zn 0.8145 0.0000 0.8454
Pt 0.0440 0.5000 0.8253
Pt 0.1420 0.0000 0.5373
Pt 0.3580 0.5000 0.4627
Pt 0.4560 0.0000 0.1747
Pt 0.5440 0.0000 0.8253
Pt 0.6420 0.5000 0.5373
Pt 0.8580 0.0000 0.4627
Pt 0.9560 0.5000 0.1747

Calculated values
DFT formation energy: -105 kJ/mol of formula units



The following is a PBE calculation of crystalline MoWAu2 at its relaxed geometry, from Alexandria via LeMat-Bulk.

Unit cell a=6.4727 b=6.4727 c=6.4727 alpha=90.00 beta=90.00 gamma=90.00
Fractional positions:
Mo 0.0000 0.0000 0.0000
Mo 0.0000 0.5000 0.5000
Mo 0.5000 0.0000 0.5000
Mo 0.5000 0.5000 0.0000
W 0.0000 0.0000 0.5000
W 0.0000 0.5000 0.0000
W 0.5000 0.0000 0.0000
W 0.5000 0.5000 0.5000
Au 0.2500 0.2500 0.2500
Au 0.2500 0.2500 0.7500
Au 0.2500 0.7500 0.2500
Au 0.2500 0.7500 0.7500
Au 0.7500 0.2500 0.2500
Au 0.7500 0.2500 0.7500
Au 0.7500 0.7500 0.2500
Au 0.7500 0.7500 0.7500

Calculated values
DFT formation energy: 272 kJ/mol of formula units



no.,uncorrected energy (eV per atom)
1,-1.09
2,-8.67
3,-4.49
4,-4.80
5,-8.22
6,-5.07
7,-5.85
8,-3.45
9,-6.49
10,-6.02
11,-7.31
12,-7.94
13,-4.81
14,-6.88